First-principles (PBE-GGA) data for a relaxed Tl2CrRu crystal, as listed in Alexandria.

Output
ΔH_f (0 K): 0.73 eV per atom
E above lowest polymorph: 0.331 eV per atom

a b c (Å): 3.182 4.616 5.442
angles (deg): 90.00 92.55 90.00
Fractional positions:
Tl (0.250, 0.000, 0.245)
Tl (0.750, 0.000, 0.755)
Cr (0.000, 0.500, 0.500)
Ru (0.500, 0.500, 0.000)